The following is a DFT calculation (PBE) of a geometry-optimized ScInAsSe2 structure.

Lattice parameters (Å, degrees): 5.176 5.176 5.247 90.00 90.00 90.00
Element x y z (fractional)
Sc  0.000  0.000  0.000
As  0.000  0.000  0.500
Se  0.000  0.500  0.000
Se  0.500  0.000  0.000
In  0.500  0.500  0.500

ΔE_f (raw)   -0.344 eV per atom
Crystal system   tetragonal
Space group   P4/mmm (123)
Relative energy among the computed polymorphs   0.0 meV/atom